Density functional theory data (PBE with a Hubbard U) for a relaxed structure of V2NClF.

Geometry as extended XYZ:
```
5
Lattice="4.4175 0.0000 0.0000 0.0000 4.4175 0.0000 0.0000 0.0000 4.0383" Properties=species:S:1:pos:R:3 pbc="T T T"
V 0.0000 2.2087 0.0000
V 2.2087 0.0000 0.0000
N 0.0000 0.0000 2.0191
Cl 2.2087 2.2087 2.0191
F 0.0000 0.0000 0.0000
```

Properties
- Theoretical density: 3.59 g cm⁻³
- DOS at the Fermi energy: 4.75 states/eV/f.u.
- Uncorrected energy: -4.6620 eV/atom